VASP calculation (PBE) on a geometry-optimized Sm2YGa structure.

```
Sm2YGa
1.0
3.689 0.000 0.000
1.845 3.195 0.000
1.845 1.065 10.354
Sm Y Ga
2 1 1
direct
0.071 0.071 0.787
0.262 0.262 0.213
0.500 0.500 0.499
0.666 0.666 0.001
```

## Properties
- formation energy from the elements (eV/atom) = -0.17
- raw total energy (eV per cell) = -19.61
- spin magnetization (μB per cell) = 0.74
- energy above the lowest structure with this stoichiometry (eV per atom) = 0.101
- symmetry = No. 160
- density of states at the Fermi level (states/eV/cell) = 4.42